# 1
Here is crystalline TbPm6Sm2Tm3 at its relaxed geometry from the Alexandria database. Energies are from PBE.

Cell lengths 6.2454, 10.8167, 11.8495 Å; angles 90.00, 100.09, 90.00 degrees
Space group C2/m (No. 12)
Symmetry-distinct sites (fractional):
1 Tb 0.0000 0.0000 0.0000 x2
2 Pm 0.2484 0.0000 0.7465 x4
3 Pm 0.2489 0.3335 0.7467 x8
4 Sm 0.0000 0.3333 0.0000 x4
5 Tm 0.0000 0.1666 0.5000 x4
6 Tm 0.0000 0.5000 0.5000 x2

Summary:
ρ = 7.7 Mg/m³
E_tot = -4.650 eV per atom
Energy of formation from the pure elements = 0.19 eV per formula unit

***

# 2
Here is crystalline PuMgSbI at its relaxed geometry from the Alexandria database. Energies are from PBE.

Cell lengths 4.6267, 4.6267, 44.5961 Å; angles 90.00, 90.00, 120.00 degrees
Space group R-3m (No. 166, hexagonal axes)
Symmetry-distinct sites (fractional):
1 Pu 0.0000 0.0000 0.0840 x6
2 Mg 0.0000 0.0000 0.3108 x6
3 Sb 0.0000 0.0000 0.3769 x6
4 I 0.0000 0.0000 0.2091 x6

Summary:
ρ = 6.2 Mg/m³
E_tot = -6.098 eV per atom
Uncorrected formation energy = -0.698 eV/atom

***

Repeat the second record exactly.
Here is crystalline PuMgSbI at its relaxed geometry from the Alexandria database. Energies are from PBE.

Cell lengths 4.6267, 4.6267, 44.5961 Å; angles 90.00, 90.00, 120.00 degrees
Space group R-3m (No. 166, hexagonal axes)
Symmetry-distinct sites (fractional):
1 Pu 0.0000 0.0000 0.0840 x6
2 Mg 0.0000 0.0000 0.3108 x6
3 Sb 0.0000 0.0000 0.3769 x6
4 I 0.0000 0.0000 0.2091 x6

Summary:
ρ = 6.2 Mg/m³
E_tot = -6.098 eV per atom
Uncorrected formation energy = -0.698 eV/atom

***

What did the second record say?
Here is crystalline PuMgSbI at its relaxed geometry from the Alexandria database. Energies are from PBE.

Cell lengths 4.6267, 4.6267, 44.5961 Å; angles 90.00, 90.00, 120.00 degrees
Space group R-3m (No. 166, hexagonal axes)
Symmetry-distinct sites (fractional):
1 Pu 0.0000 0.0000 0.0840 x6
2 Mg 0.0000 0.0000 0.3108 x6
3 Sb 0.0000 0.0000 0.3769 x6
4 I 0.0000 0.0000 0.2091 x6

Summary:
ρ = 6.2 Mg/m³
E_tot = -6.098 eV per atom
Uncorrected formation energy = -0.698 eV/atom

***

Please write out number 1 again, unchanged.
Here is crystalline TbPm6Sm2Tm3 at its relaxed geometry from the Alexandria database. Energies are from PBE.

Cell lengths 6.2454, 10.8167, 11.8495 Å; angles 90.00, 100.09, 90.00 degrees
Space group C2/m (No. 12)
Symmetry-distinct sites (fractional):
1 Tb 0.0000 0.0000 0.0000 x2
2 Pm 0.2484 0.0000 0.7465 x4
3 Pm 0.2489 0.3335 0.7467 x8
4 Sm 0.0000 0.3333 0.0000 x4
5 Tm 0.0000 0.1666 0.5000 x4
6 Tm 0.0000 0.5000 0.5000 x2

Summary:
ρ = 7.7 Mg/m³
E_tot = -4.650 eV per atom
Energy of formation from the pure elements = 0.19 eV per formula unit

***

> Which of these has the lowest ρ?

PuMgSbI